[1]
16
Lattice="7.832 0.000 0.000 0.000 9.022 0.842 -3.916 -3.915 5.539" Properties=species:S:1:pos:R:3 comment="Dy8Tl4CSe3 | the Alexandria database | GGA-PBE | relaxed" e_form_raw_ev_per_atom=-0.8905 pbc="T T T"
Tl 0.000 0.000 0.000
Tl 3.916 0.000 0.000
Tl -1.958 -1.957 2.769
Tl 1.958 -1.957 2.769
Dy 6.089 2.682 0.363
Dy 0.000 0.496 3.121
Dy 3.916 4.611 3.260
Dy 0.000 4.598 2.948
Dy 3.916 0.509 3.433
Dy -2.173 2.426 6.018
Dy 2.173 2.426 6.018
Dy 1.743 2.682 0.363
Se 3.916 4.511 0.421
Se -1.958 2.554 3.191
Se 1.958 2.554 3.191
C 0.000 4.511 0.421

[2]
9
Lattice="3.766 0.000 0.000 0.000 8.858 0.000 0.000 -4.429 7.671" Properties=species:S:1:pos:R:3 comment="Ce3Th3In2Os | the Alexandria database | GGA-PBE | relaxed" delta_e_f_ev_per_atom=-0.26 pbc="T T T"
Os 0.000 0.000 0.000
In 1.883 0.000 5.114
In 1.883 4.429 2.557
Ce 0.000 2.693 4.664
Ce 0.000 -1.736 3.007
Ce 0.000 3.472 0.000
Th 1.883 1.093 1.893
Th 1.883 6.672 0.000
Th 1.883 -3.336 5.778

[3]
5
Lattice="5.060 0.000 0.000 0.000 5.060 0.000 0.000 0.000 5.060" Properties=species:S:1:pos:R:3 comment="Sc3RuCl | the Alexandria database | GGA-PBE | relaxed" e_above_lowest_polymorph_mev_per_atom=0 e_form_raw_ev_per_atom=-0.1917 pbc="T T T"
Sc 0.000 0.000 2.530
Sc 0.000 2.530 0.000
Sc 2.530 0.000 0.000
Cl 2.530 2.530 2.530
Ru 0.000 0.000 0.000

[4]
12
Lattice="-1.263 -0.819 -4.167 -3.250 -7.965 2.551 -9.296 8.841 1.080" Properties=species:S:1:pos:R:3 comment="NaInSbTe3 | the Alexandria database | GGA-PBE | relaxed" e_form_raw_ev_per_atom=-0.3265 pbc="T T T"
Te -6.484 -2.788 1.336
Te -7.326 2.845 -1.872
Te -3.610 -3.027 -1.844
Te -5.344 -6.765 -0.584
Te -8.466 6.821 0.048
Te -10.199 3.084 1.308
In -6.132 5.062 -0.314
In -7.678 -5.006 -0.222
Na -2.067 -0.554 -0.442
Na -11.743 0.611 -0.094
Sb -3.748 -4.430 0.829
Sb -10.062 4.487 -1.365

[5]
4
Lattice="5.487 -0.043 -0.035 1.800 5.184 0.035 -3.100 -3.340 3.057" Properties=species:S:1:pos:R:3 comment="In2SbIr | the Alexandria database | GGA-PBE | relaxed" e_form_raw_ev_per_atom=0.2534 pbc="T T T"
Ir 3.015 -0.407 1.511
In 7.110 5.016 0.000
In 3.821 2.695 0.000
Sb 1.171 2.207 1.546

[6]
18
Lattice="7.641 0.000 0.310 0.000 7.299 0.000 -0.535 0.000 13.006" Properties=species:S:1:pos:R:3 comment="LiSn2I6 | the Alexandria database | GGA-PBE | relaxed" e_form_raw_ev_per_atom=-0.5688 pbc="T T T"
I 4.699 1.823 11.117
I 2.049 5.445 10.995
I 4.937 1.659 6.722
I 6.137 5.504 4.647
I 5.057 1.854 2.321
I 5.722 5.308 13.252
I 1.146 1.827 4.459
I 5.960 5.472 8.857
I 0.969 1.796 8.669
I 2.169 5.641 6.594
I 1.384 1.991 0.064
I 2.407 5.477 2.199
Sn 3.464 7.291 8.900
Sn -0.089 3.658 2.242
Sn 7.195 3.642 11.074
Sn 3.642 0.008 4.416
Li -0.268 0.000 6.503
Li 3.820 3.650 0.155

[7]
4
Lattice="4.440 0.000 0.000 2.220 3.845 0.000 2.220 1.282 3.625" Properties=species:S:1:pos:R:3 comment="KCo2Ni | the Alexandria database | GGA-PBE | relaxed" e_above_lowest_polymorph_mev_per_atom=628 delta_e_f_ev_per_atom=1.23 pbc="T T T"
Co 0.000 0.000 0.000
Co 6.660 3.845 2.719
K 4.440 2.564 1.813
Ni 2.220 1.282 0.906

[8]
7
Lattice="-5.021 1.905 -0.386 -1.866 -5.024 -0.520 2.681 1.067 7.950" Properties=species:S:1:pos:R:3 comment="PmPr2In4 | the Alexandria database | GGA-PBE | relaxed" delta_e_f_ev_per_atom=-0.32 pbc="T T T"
In -1.104 -2.622 1.419
In -2.681 0.842 1.486
In -3.102 0.570 5.626
In -1.525 -2.894 5.559
Pm 0.000 0.000 0.000
Pr -0.388 -0.250 3.813
Pr -3.818 -1.802 3.232

[9]
8
Lattice="-1.464 2.983 4.172 -1.447 -4.402 2.640 3.588 -1.127 5.474" Properties=species:S:1:pos:R:3 comment="In2CF | the Alexandria database | GGA-PBE | relaxed" e_above_lowest_polymorph_mev_per_atom=0 e_form_raw_ev_per_atom=-0.0967 pbc="T T T"
In -0.251 -2.536 3.714
In 0.204 -1.904 9.956
In 1.539 -1.561 6.770
In -0.138 0.908 4.132
F 0.334 0.573 6.526
F 0.000 0.000 0.000
C -1.455 -0.710 3.406
C 0.343 -3.119 5.760

[10]
16
Lattice="-7.139 -2.096 3.776 4.425 -3.233 6.571 1.334 7.906 -2.308" Properties=species:S:1:pos:R:3 comment="Na4NdU3Se8 | the Alexandria database | GGA-PBE | relaxed" e_form_raw_ev_per_atom=-1.2953 pbc="T T T"
Na -2.903 2.905 0.734
Na -3.570 -1.048 1.888
Na 0.000 0.000 0.000
Na 0.667 3.953 -1.154
Se -1.419 -0.066 6.499
Se -0.676 -1.304 2.689
Se -3.527 1.550 3.410
Se -4.182 -2.333 4.543
Se 2.147 1.027 4.629
Se 2.802 4.911 3.496
Se 0.039 2.643 1.541
Se -0.704 3.881 5.350
U -1.357 -2.665 5.174
U -0.690 1.289 4.020
U 2.879 2.337 2.132
Nd 2.212 -1.617 3.286

[11]
5
Lattice="3.999 0.000 0.000 0.000 3.999 0.000 1.999 1.999 5.720" Properties=species:S:1:pos:R:3 comment="Co2BiAu2 | the Alexandria database | GGA-PBE | relaxed" e_above_lowest_polymorph_mev_per_atom=61 delta_e_f_ev_per_atom=0.36 pbc="T T T"
Au 3.999 1.999 2.860
Au 1.999 3.999 2.860
Co 1.999 1.999 1.099
Co 3.999 3.999 4.621
Bi 0.000 0.000 0.000

[12]
4
Lattice="-1.386 2.119 -0.926 0.124 -1.690 -2.097 -7.354 -3.697 2.547" Properties=species:S:1:pos:R:3 comment="NiAgMo2 | the Alexandria database | GGA-PBE | relaxed" e_above_lowest_polymorph_mev_per_atom=0 delta_e_f_ev_per_atom=0.20 pbc="T T T"
Mo -2.614 -0.782 -0.825
Mo -0.082 -0.041 0.028
Ag -6.021 -2.495 0.355
Ni -3.576 -1.798 1.238

[13]
10
Lattice="6.355 0.000 0.000 3.178 6.913 0.000 3.178 0.000 6.913" Properties=species:S:1:pos:R:3 comment="Th5FeSn4 | the Alexandria database | GGA-PBE | relaxed" delta_e_f_ev_per_atom=-0.29 pbc="T T T"
Sn 6.362 2.741 5.213
Sn 9.540 5.213 4.172
Sn 6.362 4.172 1.700
Sn 3.184 1.700 2.741
Fe 0.006 0.000 0.000
Th 6.362 5.878 4.496
Th 9.540 2.417 5.878
Th 6.362 1.035 2.417
Th 3.184 0.000 0.000
Th 3.184 4.496 1.035

[14]
3
Lattice="7.293 0.036 0.011 6.284 3.706 -0.013 -6.792 -1.859 1.904" Properties=species:S:1:pos:R:3 comment="LiMgMo | the Alexandria database | GGA-PBE | relaxed" e_above_lowest_polymorph_mev_per_atom=25 delta_e_f_ev_per_atom=0.31 pbc="T T T"
Li 13.502 3.721 -0.002
Mg 2.328 0.654 1.902
Mo -2.261 -0.610 1.903

[15]
5
Lattice="-1.630 -3.787 3.174 4.504 -1.623 0.378 0.775 3.105 4.103" Properties=species:S:1:pos:R:3 comment="FeNiTeI2 | the Alexandria database | GGA-PBE | relaxed" e_above_lowest_polymorph_mev_per_atom=23 e_form_raw_ev_per_atom=0.7612 pbc="T T T"
Te 1.824 -1.152 3.827
I 0.387 1.553 2.051
I -0.815 -1.894 1.587
Ni 0.000 0.000 0.000
Fe 2.252 -0.811 0.189

[16]
5
Lattice="-1.316 2.999 2.852 -4.029 -0.246 -1.601 -3.831 -2.466 4.132" Properties=species:S:1:pos:R:3 comment="Ga2As2H | the Alexandria database | GGA-PBE | relaxed" e_above_lowest_polymorph_mev_per_atom=311 pbc="T T T"
H 0.000 0.000 0.000
Ga -2.933 0.511 1.415
Ga -6.242 -0.224 3.967
As -5.266 -0.667 1.578
As -3.910 0.955 3.804

[17]
4
Lattice="2.997 0.000 0.000 0.000 4.034 0.000 0.000 0.000 5.398" Properties=species:S:1:pos:R:3 comment="AlTeOs2 | the Alexandria database | GGA-PBE | relaxed" e_above_lowest_polymorph_mev_per_atom=89 e_form_raw_ev_per_atom=0.3574 pbc="T T T"
Te 0.000 0.000 2.499
Al 1.499 2.017 4.318
Os 0.000 0.000 5.189
Os 1.499 2.017 1.489

[18]
4
Lattice="2.818 0.000 0.000 1.409 2.440 0.000 1.409 0.813 7.918" Properties=species:S:1:pos:R:3 comment="AlBOs2 | the Alexandria database | GGA-PBE | relaxed" e_above_lowest_polymorph_mev_per_atom=326 delta_e_f_ev_per_atom=0.32 pbc="T T T"
Os 1.409 0.813 5.411
Os 4.227 2.440 2.507
Al 0.000 0.000 0.000
B 2.818 1.627 3.959

[19]
3
Lattice="0.000 3.067 3.067 3.067 0.000 3.067 3.067 3.067 0.000" Properties=species:S:1:pos:R:3 comment="ScTiCu | the Alexandria database | GGA-PBE | relaxed" e_above_lowest_polymorph_mev_per_atom=814 delta_e_f_ev_per_atom=0.73 pbc="T T T"
Cu 4.601 4.601 4.601
Ti 3.067 3.067 3.067
Sc 1.534 1.534 1.534

[20]
4
Lattice="4.934 0.019 -0.016 4.010 2.876 -0.016 1.017 0.329 4.800" Properties=species:S:1:pos:R:3 comment="ZrIr2Au | the Alexandria database | GGA-PBE | relaxed" e_above_lowest_polymorph_mev_per_atom=247 delta_e_f_ev_per_atom=-0.29 pbc="T T T"
Zr 2.490 0.806 1.192
Ir 8.892 2.878 -0.029
Ir 5.031 1.628 2.380
Au 7.470 2.417 3.576

The following magnetic moment values (in μB per atom) correspond, in order, to the records above: 0.000, 0.270, 0.000, 0.000, 0.000, 0.000, 0.952, 0.000, 0.000, 0.563, 0.637, 0.000, 0.000, 0.000, 0.814, 0.096, 0.000, 0.000, 0.000, 0.000.